# 1
A plane-wave DFT calculation with PBE was carried out for an optimized crystal structure of ReAsRu2.

Cell: 2.9210 2.9210 6.7538 Å, 90.00 90.00 90.00°
Space group P4mm (No. 99)
Inequivalent atoms, fractional coordinates:
Re 0.0000 0.0000 0.0000 x1
As 0.5000 0.5000 0.7485 x1
Ru 0.0000 0.0000 0.5375 x1
Ru 0.5000 0.5000 0.2484 x1

Properties
For the density of states at the Fermi level, the calculation gives 3.12 states/eV/cell. The calculation puts the calculated volume at 57.6 Å³/f.u. The value obtained for the calculated density is 13.349 g/cm³.

# 2
A plane-wave DFT calculation with PBE was carried out for an optimized crystal structure of NaPdSe2.

Cell: 5.0491 11.3460 7.5498 Å, 90.00 90.00 90.00°
Space group Cmcm (No. 63)
Inequivalent atoms, fractional coordinates:
Na 0.0000 0.1499 0.2500 x4
Pd 0.0000 0.4992 0.2500 x4
Se 0.0000 0.3609 0.9997 x8

Properties
For the density of states at the Fermi level, the calculation gives 10.18 states/eV/cell. For the uncorrected formation energy, the calculation gives -0.471 eV/atom. The calculation puts the calculated volume at 108.1 Å³/f.u. The value obtained for the calculated density is 4.413 g/cm³.

# 3
A plane-wave DFT calculation with PBE was carried out for an optimized crystal structure of CsPa6S8.

Cell: 10.8261 10.8261 13.1790 Å, 90.00 90.00 120.00°
Space group R-3 (No. 148, hexagonal axes)
Inequivalent atoms, fractional coordinates:
Cs 0.0000 0.0000 0.0000 x3
Pa 0.0111 0.8173 0.4178 x18
S 0.0000 0.0000 0.2809 x6
S 0.0187 0.7075 0.6042 x18

Properties
For the density of states at the Fermi level, the calculation gives 31.40 states/eV/cell. For the uncorrected formation energy, the calculation gives -1.191 eV/atom. The calculation puts the calculated volume at 445.9 Å³/f.u. The value obtained for the calculated density is 6.613 g/cm³.

# 4
A plane-wave DFT calculation with PBE was carried out for an optimized crystal structure of MgTiSn2Rh.

Cell: 5.2901 5.2901 4.5417 Å, 90.00 90.00 90.00°
Space group P4/mmm (No. 123)
Inequivalent atoms, fractional coordinates:
Mg 0.0000 0.0000 0.0000 x1
Ti 0.5000 0.5000 0.5000 x1
Sn 0.0000 0.5000 0.5000 x2
Rh 0.5000 0.5000 0.0000 x1

Properties
For the density of states at the Fermi level, the calculation gives 3.43 states/eV/cell. The calculation puts the calculated volume at 127.1 Å³/f.u. The value obtained for the calculated density is 5.389 g/cm³.

# 5
A plane-wave DFT calculation with PBE was carried out for an optimized crystal structure of RbIn6Hg6.

Cell: 6.6885 10.0984 11.0766 Å, 90.00 90.00 90.00°
Space group Immm (No. 71)
Inequivalent atoms, fractional coordinates:
Rb 0.0000 0.0000 0.0000 x2
In 0.0000 0.2608 0.5000 x4
In 0.2500 0.2500 0.2500 x8
Hg 0.0000 0.0000 0.3450 x4
Hg 0.0000 0.3500 0.0000 x4
Hg 0.0000 0.5000 0.3146 x4

Properties
For the density of states at the Fermi level, the calculation gives 9.47 states/eV/cell. The calculation puts the calculated volume at 374.1 Å³/f.u. The value obtained for the calculated density is 8.780 g/cm³.

# 6
A plane-wave DFT calculation with PBE was carried out for an optimized crystal structure of LiTcO2.

Cell: 2.9359 2.9359 17.7814 Å, 90.00 90.00 120.00°
Space group R-3m (No. 166, hexagonal axes)
Inequivalent atoms, fractional coordinates:
Li 0.0000 0.0000 0.0000 x3
Tc 0.0000 0.0000 0.5000 x3
O 0.0000 0.0000 0.4003 x6

Properties
For the density of states at the Fermi level, the calculation gives 3.00 states/eV/cell. For the uncorrected formation energy, the calculation gives -1.264 eV/atom. The calculation puts the calculated volume at 44.2 Å³/f.u. The polymorph energy (0 for the lowest one) is 0.62 eV per formula unit. The value obtained for the calculated density is 5.140 g/cm³.

# 7
A plane-wave DFT calculation with PBE was carried out for an optimized crystal structure of GaTcPAu2.

Cell: 4.6898 4.6898 4.6944 Å, 90.00 90.00 90.00°
Space group P4/mmm (No. 123)
Inequivalent atoms, fractional coordinates:
Ga 0.0000 0.0000 0.0000 x1
Tc 0.5000 0.5000 0.0000 x1
P 0.0000 0.0000 0.5000 x1
Au 0.0000 0.5000 0.5000 x2

Properties
For the density of states at the Fermi level, the calculation gives 3.40 states/eV/cell. The calculation puts the calculated volume at 103.2 Å³/f.u. The value obtained for the calculated density is 9.531 g/cm³.

# 8
A plane-wave DFT calculation with PBE was carried out for an optimized crystal structure of Na2S13.

Cell: 6.7219 6.7219 26.8124 Å, 90.00 90.00 120.00°
Space group R-3m (No. 166, hexagonal axes)
Inequivalent atoms, fractional coordinates:
Na 0.0000 0.0000 0.1419 x6
S 0.0000 0.0000 0.0000 x3
S 0.1086 0.2172 0.7570 x18
S 0.1094 0.2188 0.6175 x18

Properties
For the density of states at the Fermi level, the calculation gives 25.74 states/eV/cell. For the uncorrected formation energy, the calculation gives 0.278 eV/atom. The calculation puts the calculated volume at 349.7 Å³/f.u. The value obtained for the calculated density is 2.198 g/cm³.

# 9
A plane-wave DFT calculation with PBE was carried out for an optimized crystal structure of AcPm3Y3.

Cell: 11.3179 11.3179 7.0553 Å, 90.00 90.00 120.00°
Space group R3m (No. 160, hexagonal axes)
Inequivalent atoms, fractional coordinates:
Ac 0.0000 0.0000 0.0000 x3
Pm 0.1919 0.3839 0.3500 x9
Y 0.1763 0.3526 0.8676 x9

Properties
For the density of states at the Fermi level, the calculation gives 34.76 states/eV/cell. The calculation puts the calculated volume at 260.9 Å³/f.u. The polymorph energy (0 for the lowest one) is 1.19 eV per formula unit. The value obtained for the calculated density is 5.911 g/cm³.

# 10
A plane-wave DFT calculation with PBE was carried out for an optimized crystal structure of RbSeOF2.

Cell: 4.6753 4.6753 3.8318 Å, 90.00 90.00 90.00°
Space group P4/mmm (No. 123)
Inequivalent atoms, fractional coordinates:
Rb 0.0000 0.0000 0.0000 x1
Se 0.5000 0.5000 0.5000 x1
O 0.5000 0.5000 0.0000 x1
F 0.0000 0.5000 0.5000 x2

Properties
For the density of states at the Fermi level, the calculation gives 1.04 states/eV/cell. For the uncorrected formation energy, the calculation gives -1.492 eV/atom. The calculation puts the calculated volume at 83.8 Å³/f.u. The polymorph energy (0 for the lowest one) is 0.00 eV per formula unit. The value obtained for the calculated density is 4.330 g/cm³.

# 11
A plane-wave DFT calculation with PBE was carried out for an optimized crystal structure of Gd3DyFe.

Cell: 5.3003 5.3003 5.3003 Å, 90.00 90.00 90.00°
Space group Pm-3m (No. 221)
Inequivalent atoms, fractional coordinates:
Gd 0.0000 0.0000 0.5000 x3
Dy 0.5000 0.5000 0.5000 x1
Fe 0.0000 0.0000 0.0000 x1

Properties
For the density of states at the Fermi level, the calculation gives 7.05 states/eV/cell. The calculation puts the calculated volume at 148.9 Å³/f.u. The value obtained for the calculated density is 7.696 g/cm³.

# 12
A plane-wave DFT calculation with PBE was carried out for an optimized crystal structure of AlSbN2.

Cell: 5.7401 5.7401 5.7401 Å, 90.00 90.00 90.00°
Space group Fm-3m (No. 225)
Inequivalent atoms, fractional coordinates:
Al 0.0000 0.0000 0.0000 x4
Sb 0.0000 0.0000 0.5000 x4
N 0.2500 0.2500 0.2500 x8

Properties
For the density of states at the Fermi level, the calculation gives 2.99 states/eV/cell. For the uncorrected formation energy, the calculation gives 1.040 eV/atom. The calculation puts the calculated volume at 47.3 Å³/f.u. The polymorph energy (0 for the lowest one) is 4.48 eV per formula unit. The value obtained for the calculated density is 6.208 g/cm³.

# 13
A plane-wave DFT calculation with PBE was carried out for an optimized crystal structure of Ac2AlAg.

Cell: 3.9284 3.9284 8.0439 Å, 90.00 90.00 90.00°
Space group P4/mmm (No. 123)
Inequivalent atoms, fractional coordinates:
Ac 0.0000 0.0000 0.2460 x2
Al 0.5000 0.5000 0.0000 x1
Ag 0.5000 0.5000 0.5000 x1

Properties
For the density of states at the Fermi level, the calculation gives 3.23 states/eV/cell. The calculation puts the calculated volume at 124.1 Å³/f.u. The value obtained for the calculated density is 7.877 g/cm³.

# 14
A plane-wave DFT calculation with PBE was carried out for an optimized crystal structure of Hf2MnAlCo.

Cell: 4.6796 4.6796 4.3121 Å, 90.00 90.00 90.00°
Space group P4/mmm (No. 123)
Inequivalent atoms, fractional coordinates:
Hf 0.0000 0.5000 0.0000 x2
Mn 0.0000 0.0000 0.5000 x1
Al 0.5000 0.5000 0.5000 x1
Co 0.5000 0.5000 0.0000 x1

Properties
For the density of states at the Fermi level, the calculation gives 6.68 states/eV/cell. The calculation puts the calculated volume at 94.4 Å³/f.u. The value obtained for the calculated density is 8.755 g/cm³.

# 15
A plane-wave DFT calculation with PBE was carried out for an optimized crystal structure of KOs2Au.

Cell: 3.3745 3.3745 7.8074 Å, 90.00 90.00 90.00°
Space group P4/mmm (No. 123)
Inequivalent atoms, fractional coordinates:
K 0.0000 0.0000 0.0000 x1
Os 0.5000 0.5000 0.3415 x2
Au 0.0000 0.0000 0.5000 x1

Properties
For the density of states at the Fermi level, the calculation gives 4.45 states/eV/cell. The calculation puts the calculated volume at 88.9 Å³/f.u. The polymorph energy (0 for the lowest one) is 3.78 eV per formula unit. The value obtained for the calculated density is 11.516 g/cm³.

# 16
A plane-wave DFT calculation with PBE was carried out for an optimized crystal structure of Co2ReSe2.

Cell: 3.1807 3.1807 14.8492 Å, 90.00 90.00 90.00°
Space group I4/mmm (No. 139)
Inequivalent atoms, fractional coordinates:
Co 0.0000 0.5000 0.2500 x4
Re 0.0000 0.0000 0.0000 x2
Se 0.0000 0.0000 0.3948 x4

Properties
For the density of states at the Fermi level, the calculation gives 10.83 states/eV/cell. For the uncorrected formation energy, the calculation gives 0.609 eV/atom. The calculation puts the calculated volume at 75.1 Å³/f.u. The polymorph energy (0 for the lowest one) is 0.94 eV per formula unit. The value obtained for the calculated density is 10.213 g/cm³.

# 17
A plane-wave DFT calculation with PBE was carried out for an optimized crystal structure of LiBPt2Rh.

Cell: 4.1480 4.1480 4.1092 Å, 90.00 90.00 90.00°
Space group P4/mmm (No. 123)
Inequivalent atoms, fractional coordinates:
Li 0.0000 0.0000 0.0000 x1
B 0.5000 0.5000 0.5000 x1
Pt 0.0000 0.5000 0.5000 x2
Rh 0.5000 0.5000 0.0000 x1

Properties
For the density of states at the Fermi level, the calculation gives 5.30 states/eV/cell. The calculation puts the calculated volume at 70.7 Å³/f.u. The value obtained for the calculated density is 11.997 g/cm³.

# 18
A plane-wave DFT calculation with PBE was carried out for an optimized crystal structure of Ho4CdAu.

Cell: 13.7620 13.7620 13.7620 Å, 90.00 90.00 90.00°
Space group F-43m (No. 216)
Inequivalent atoms, fractional coordinates:
Ho 0.0000 0.0000 0.1841 x24
Ho 0.0616 0.2500 0.2500 x24
Ho 0.1090 0.1090 0.6090 x16
Cd 0.1670 0.1670 0.8330 x16
Au 0.1034 0.1034 0.3966 x16

Properties
For the density of states at the Fermi level, the calculation gives 100.75 states/eV/cell. The calculation puts the calculated volume at 162.9 Å³/f.u. The polymorph energy (0 for the lowest one) is 0.00 eV per formula unit. The value obtained for the calculated density is 9.879 g/cm³.

# 19
A plane-wave DFT calculation with PBE was carried out for an optimized crystal structure of KUTl2Cl8.

Cell: 7.0427 9.3372 7.2816 Å, 90.00 92.52 90.00°
Space group P2/m (No. 10)
Inequivalent atoms, fractional coordinates:
K 0.0000 0.0000 0.0000 x1
U 0.0000 0.5000 0.0000 x1
Tl 0.5000 0.2309 0.5000 x2
Cl 0.1253 0.3049 0.7918 x4
Cl 0.3103 0.5000 0.1855 x2
Cl 0.3349 0.0000 0.2806 x2

Properties
For the uncorrected formation energy, the calculation gives -1.496 eV/atom. The calculation puts the calculated volume at 478.4 Å³/f.u. The value obtained for the calculated density is 3.365 g/cm³.

# 20
A plane-wave DFT calculation with PBE was carried out for an optimized crystal structure of SrFe2OsAu.

Cell: 4.4124 4.4124 5.1937 Å, 90.00 90.00 90.00°
Space group P4/mmm (No. 123)
Inequivalent atoms, fractional coordinates:
Sr 0.0000 0.0000 0.0000 x1
Fe 0.0000 0.5000 0.0000 x2
Os 0.5000 0.5000 0.5000 x1
Au 0.0000 0.0000 0.5000 x1

Properties
For the density of states at the Fermi level, the calculation gives 8.31 states/eV/cell. The calculation puts the calculated volume at 101.1 Å³/f.u. The value obtained for the calculated density is 9.632 g/cm³.

# 21
A plane-wave DFT calculation with PBE was carried out for an optimized crystal structure of K2OsSe.

Cell: 12.6039 12.6039 4.6264 Å, 90.00 90.00 90.00°
Space group I-42d (No. 122)
Inequivalent atoms, fractional coordinates:
K 0.0141 0.2500 0.1250 x8
Os 0.0000 0.0000 0.0000 x4
Se 0.0000 0.0000 0.5000 x4

Properties
For the density of states at the Fermi level, the calculation gives 9.03 states/eV/cell. For the uncorrected formation energy, the calculation gives 0.282 eV/atom. The calculation puts the calculated volume at 183.7 Å³/f.u. The value obtained for the calculated density is 3.140 g/cm³.

# 22
A plane-wave DFT calculation with PBE was carried out for an optimized crystal structure of NaGa3Rh2.

Cell: 9.8413 8.0825 5.6843 Å, 90.00 90.00 90.00°
Space group Cmcm (No. 63)
Inequivalent atoms, fractional coordinates:
Na 0.0000 0.1028 0.2500 x4
Ga 0.0000 0.4971 0.7500 x4
Ga 0.2111 0.2366 0.7500 x8
Rh 0.2088 0.5000 0.0000 x8

Properties
For the density of states at the Fermi level, the calculation gives 7.76 states/eV/cell. The calculation puts the calculated volume at 113.0 Å³/f.u. The value obtained for the calculated density is 6.434 g/cm³.

# 23
A plane-wave DFT calculation with PBE was carried out for an optimized crystal structure of CrRe2Ru.

Cell: 3.7770 3.7770 17.4410 Å, 90.00 90.00 90.00°
Space group I-42d (No. 122)
Inequivalent atoms, fractional coordinates:
Cr 0.0000 0.0000 0.0000 x4
Re 0.2183 0.2500 0.1250 x8
Ru 0.0000 0.0000 0.5000 x4

Properties
For the density of states at the Fermi level, the calculation gives 24.61 states/eV/cell. The calculation puts the calculated volume at 62.2 Å³/f.u. The polymorph energy (0 for the lowest one) is 2.96 eV per formula unit. The value obtained for the calculated density is 14.028 g/cm³.

Per-record uncorrected energy, eV per cell: -35.1; -61.5; -326.2; -23.2; -39.5; -81.8; -20.8; -156.4; -107.0; -20.6; -54.7; -81.4; -15.8; -37.4; -20.9; -61.2; -29.6; -401.2; -49.8; -18.8; -63.1; -112.2; -161.8